(1)
Compound: LaTeIr2
Source: Alexandria
Functional: PBE-GGA
Structure: optimized geometry

abc: 3.3181 3.3181 7.5802
angles: 90.00 90.00 90.00
Element x y z (fractional)
La 0.0000 0.0000 0.0000
Te 0.0000 0.0000 0.5000
Ir 0.5000 0.5000 0.2849
Ir 0.5000 0.5000 0.7151

Mass density ... 12.95 g/cm³
Raw formation energy ... -25 meV per atom
Electronic total energy ... -6.47 eV/atom
DOS at the Fermi energy ... 2.70 states/eV per cell



(2)
Compound: Ca3Ru5N12
Source: Alexandria
Functional: PBE-GGA
Structure: optimized geometry

abc: 11.0197 11.0197 11.0197
angles: 109.47 109.47 109.47
Element x y z (fractional)
Ca 0.1250 0.2500 0.3750
Ca 0.1250 0.3750 0.7500
Ca 0.2500 0.3750 0.1250
Ca 0.2500 0.8750 0.6250
Ca 0.3750 0.1250 0.2500
Ca 0.3750 0.7500 0.1250
Ca 0.6250 0.2500 0.8750
Ca 0.6250 0.8750 0.7500
Ca 0.7500 0.1250 0.3750
Ca 0.7500 0.6250 0.8750
Ca 0.8750 0.6250 0.2500
Ca 0.8750 0.7500 0.6250
Ru 0.0000 0.0000 0.0000
Ru 0.0000 0.0000 0.5000
Ru 0.0000 0.5000 0.0000
Ru 0.0000 0.5000 0.5000
Ru 0.1250 0.7500 0.8750
Ru 0.1250 0.8750 0.2500
Ru 0.2500 0.1250 0.8750
Ru 0.2500 0.6250 0.3750
Ru 0.3750 0.2500 0.6250
Ru 0.3750 0.6250 0.7500
Ru 0.5000 0.0000 0.0000
Ru 0.5000 0.0000 0.5000
Ru 0.5000 0.5000 0.0000
Ru 0.5000 0.5000 0.5000
Ru 0.6250 0.3750 0.2500
Ru 0.6250 0.7500 0.3750
Ru 0.7500 0.3750 0.6250
Ru 0.7500 0.8750 0.1250
Ru 0.8750 0.1250 0.7500
Ru 0.8750 0.2500 0.1250
N 0.0097 0.1938 0.1112
N 0.0097 0.3159 0.8985
N 0.0826 0.6938 0.6841
N 0.0826 0.8888 0.3985
N 0.1015 0.6112 0.4174
N 0.1015 0.9903 0.6841
N 0.1112 0.0097 0.1938
N 0.1112 0.6015 0.9174
N 0.1841 0.1938 0.5826
N 0.1841 0.4903 0.6015
N 0.1938 0.1112 0.0097
N 0.1938 0.5826 0.1841
N 0.3062 0.3159 0.9174
N 0.3062 0.4903 0.3888
N 0.3159 0.8985 0.0097
N 0.3159 0.9174 0.3062
N 0.3888 0.3062 0.4903
N 0.3888 0.5826 0.8985
N 0.3985 0.0826 0.8888
N 0.3985 0.8159 0.5097
N 0.4174 0.1015 0.6112
N 0.4174 0.8159 0.8062
N 0.4903 0.3888 0.3062
N 0.4903 0.6015 0.1841
N 0.5097 0.3985 0.8159
N 0.5097 0.6112 0.6938
N 0.5826 0.1841 0.1938
N 0.5826 0.8985 0.3888
N 0.6015 0.1841 0.4903
N 0.6015 0.9174 0.1112
N 0.6112 0.4174 0.1015
N 0.6112 0.6938 0.5097
N 0.6841 0.0826 0.6938
N 0.6841 0.1015 0.9903
N 0.6938 0.5097 0.6112
N 0.6938 0.6841 0.0826
N 0.8062 0.4174 0.8159
N 0.8062 0.8888 0.9903
N 0.8159 0.5097 0.3985
N 0.8159 0.8062 0.4174
N 0.8888 0.3985 0.0826
N 0.8888 0.9903 0.8062
N 0.8985 0.0097 0.3159
N 0.8985 0.3888 0.5826
N 0.9174 0.1112 0.6015
N 0.9174 0.3062 0.3159
N 0.9903 0.6841 0.1015
N 0.9903 0.8062 0.8888

Mass density ... 5.12 g/cm³
Raw formation energy ... 99 meV per atom
Electronic total energy ... -7.52 eV/atom
DOS at the Fermi energy ... 25.95 states/eV per cell



What is the formula in the first record?
LaTeIr2



Please write out number 2 again, unchanged.
Compound: Ca3Ru5N12
Source: Alexandria
Functional: PBE-GGA
Structure: optimized geometry

abc: 11.0197 11.0197 11.0197
angles: 109.47 109.47 109.47
Element x y z (fractional)
Ca 0.1250 0.2500 0.3750
Ca 0.1250 0.3750 0.7500
Ca 0.2500 0.3750 0.1250
Ca 0.2500 0.8750 0.6250
Ca 0.3750 0.1250 0.2500
Ca 0.3750 0.7500 0.1250
Ca 0.6250 0.2500 0.8750
Ca 0.6250 0.8750 0.7500
Ca 0.7500 0.1250 0.3750
Ca 0.7500 0.6250 0.8750
Ca 0.8750 0.6250 0.2500
Ca 0.8750 0.7500 0.6250
Ru 0.0000 0.0000 0.0000
Ru 0.0000 0.0000 0.5000
Ru 0.0000 0.5000 0.0000
Ru 0.0000 0.5000 0.5000
Ru 0.1250 0.7500 0.8750
Ru 0.1250 0.8750 0.2500
Ru 0.2500 0.1250 0.8750
Ru 0.2500 0.6250 0.3750
Ru 0.3750 0.2500 0.6250
Ru 0.3750 0.6250 0.7500
Ru 0.5000 0.0000 0.0000
Ru 0.5000 0.0000 0.5000
Ru 0.5000 0.5000 0.0000
Ru 0.5000 0.5000 0.5000
Ru 0.6250 0.3750 0.2500
Ru 0.6250 0.7500 0.3750
Ru 0.7500 0.3750 0.6250
Ru 0.7500 0.8750 0.1250
Ru 0.8750 0.1250 0.7500
Ru 0.8750 0.2500 0.1250
N 0.0097 0.1938 0.1112
N 0.0097 0.3159 0.8985
N 0.0826 0.6938 0.6841
N 0.0826 0.8888 0.3985
N 0.1015 0.6112 0.4174
N 0.1015 0.9903 0.6841
N 0.1112 0.0097 0.1938
N 0.1112 0.6015 0.9174
N 0.1841 0.1938 0.5826
N 0.1841 0.4903 0.6015
N 0.1938 0.1112 0.0097
N 0.1938 0.5826 0.1841
N 0.3062 0.3159 0.9174
N 0.3062 0.4903 0.3888
N 0.3159 0.8985 0.0097
N 0.3159 0.9174 0.3062
N 0.3888 0.3062 0.4903
N 0.3888 0.5826 0.8985
N 0.3985 0.0826 0.8888
N 0.3985 0.8159 0.5097
N 0.4174 0.1015 0.6112
N 0.4174 0.8159 0.8062
N 0.4903 0.3888 0.3062
N 0.4903 0.6015 0.1841
N 0.5097 0.3985 0.8159
N 0.5097 0.6112 0.6938
N 0.5826 0.1841 0.1938
N 0.5826 0.8985 0.3888
N 0.6015 0.1841 0.4903
N 0.6015 0.9174 0.1112
N 0.6112 0.4174 0.1015
N 0.6112 0.6938 0.5097
N 0.6841 0.0826 0.6938
N 0.6841 0.1015 0.9903
N 0.6938 0.5097 0.6112
N 0.6938 0.6841 0.0826
N 0.8062 0.4174 0.8159
N 0.8062 0.8888 0.9903
N 0.8159 0.5097 0.3985
N 0.8159 0.8062 0.4174
N 0.8888 0.3985 0.0826
N 0.8888 0.9903 0.8062
N 0.8985 0.0097 0.3159
N 0.8985 0.3888 0.5826
N 0.9174 0.1112 0.6015
N 0.9174 0.3062 0.3159
N 0.9903 0.6841 0.1015
N 0.9903 0.8062 0.8888

Mass density ... 5.12 g/cm³
Raw formation energy ... 99 meV per atom
Electronic total energy ... -7.52 eV/atom
DOS at the Fermi energy ... 25.95 states/eV per cell



What is the raw formation energy in the second record?
99 meV per atom